First-principles (PBE-GGA) data for an optimized crystal structure of CsVI4, as listed in Alexandria.

Structure (CIF):
```
data_CsVI4
_symmetry_space_group_name_H-M 'P 1 21/m 1'
_symmetry_Int_Tables_number 11
_symmetry_space_group_name_Hall '-P 2yb'
_cell_length_a 7.768
_cell_length_b 11.156
_cell_length_c 8.108
_cell_angle_alpha 90.00
_cell_angle_beta 104.65
_cell_angle_gamma 90.00
loop_
_atom_site_label
_atom_site_type_symbol
_atom_site_fract_x
_atom_site_fract_y
_atom_site_fract_z
_atom_site_occupancy
Cs1 Cs 0.086 0.250 0.239 1
V1 V 0.209 0.750 0.294 1
I1 I 0.134 0.250 0.743 1
I2 I 0.289 0.565 0.136 1
I3 I 0.367 0.750 0.617 1
```

Computed properties:
Magnetic moment   2.00 μB/f.u.
Formation energy from raw total energies   -799.6 meV/atom
Final energy   -3.495 eV per atom

---

First-principles (PBE-GGA) data for an optimized crystal structure of NaThSeN, as listed in Alexandria.

Structure (CIF):
```
data_NaThSeN
_symmetry_space_group_name_H-M 'R -3 m'
_symmetry_Int_Tables_number 166
_symmetry_space_group_name_Hall '-R 3 2"'
_cell_length_a 4.1873
_cell_length_b 4.1873
_cell_length_c 34.1795
_cell_angle_alpha 90.00
_cell_angle_beta 90.00
_cell_angle_gamma 120.00
loop_
_atom_site_label
_atom_site_type_symbol
_atom_site_fract_x
_atom_site_fract_y
_atom_site_fract_z
_atom_site_occupancy
Na1 Na 0.0000 0.0000 0.1953 1
Th1 Th 0.0000 0.0000 0.3750 1
Se1 Se 0.0000 0.0000 0.1024 1
N1 N 0.0000 0.0000 0.3072 1
```

Computed properties:
DOS at the Fermi energy   0.00 states/eV per cell
Magnetic moment   0.00 μB/f.u.
Formation energy from raw total energies   -1519.0 meV/atom
Final energy   -6.656 eV per atom

---

First-principles (PBE-GGA) data for an optimized crystal structure of SiGeP, as listed in Alexandria.

Structure (CIF):
```
data_SiGeP
_symmetry_space_group_name_H-M 'P 1'
_symmetry_Int_Tables_number 1
_symmetry_space_group_name_Hall 'P 1'
_cell_length_a 3.575
_cell_length_b 5.519
_cell_length_c 6.550
_cell_angle_alpha 93.37
_cell_angle_beta 90.02
_cell_angle_gamma 90.02
loop_
_atom_site_label
_atom_site_type_symbol
_atom_site_fract_x
_atom_site_fract_y
_atom_site_fract_z
_atom_site_occupancy
Si1 Si 0.000 0.000 0.000 1
Si2 Si 0.499 0.537 0.225 1
Ge1 Ge 0.001 0.169 0.660 1
Ge2 Ge 0.500 0.869 0.511 1
P1 P 0.500 0.113 0.208 1
P2 P 0.999 0.588 0.011 1
```

Computed properties:
DOS at the Fermi energy   1.04 states/eV per cell
Magnetic moment   0.00 μB/f.u.
Formation energy from raw total energies   112.5 meV/atom
Relative energy among the computed polymorphs   0 meV/atom
Final energy   -5.038 eV per atom

---

First-principles (PBE-GGA) data for an optimized crystal structure of LiGdThRe, as listed in Alexandria.

Structure (CIF):
```
data_LiGdThRe
_symmetry_space_group_name_H-M 'F -4 3 m'
_symmetry_Int_Tables_number 216
_symmetry_space_group_name_Hall 'F -4 2 3'
_cell_length_a 7.111
_cell_length_b 7.111
_cell_length_c 7.111
_cell_angle_alpha 90.00
_cell_angle_beta 90.00
_cell_angle_gamma 90.00
loop_
_atom_site_label
_atom_site_type_symbol
_atom_site_fract_x
_atom_site_fract_y
_atom_site_fract_z
_atom_site_occupancy
Li1 Li 0.000 0.000 0.000 1
Gd1 Gd 0.250 0.250 0.250 1
Th1 Th 0.250 0.250 0.750 1
Re1 Re 0.000 0.000 0.500 1
```

Computed properties:
DOS at the Fermi energy   12.84 states/eV per cell
Formation energy   34 meV per atom
Magnetic moment   6.91 μB/f.u.
Final energy   -8.931 eV per atom

---

First-principles (PBE-GGA) data for an optimized crystal structure of LiDyPuFe, as listed in Alexandria.

Structure (CIF):
```
data_LiDyPuFe
_symmetry_space_group_name_H-M 'F -4 3 m'
_symmetry_Int_Tables_number 216
_symmetry_space_group_name_Hall 'F -4 2 3'
_cell_length_a 6.854
_cell_length_b 6.854
_cell_length_c 6.854
_cell_angle_alpha 90.00
_cell_angle_beta 90.00
_cell_angle_gamma 90.00
loop_
_atom_site_label
_atom_site_type_symbol
_atom_site_fract_x
_atom_site_fract_y
_atom_site_fract_z
_atom_site_occupancy
Li1 Li 0.000 0.000 0.000 1
Dy1 Dy 0.250 0.250 0.250 1
Pu1 Pu 0.250 0.250 0.750 1
Fe1 Fe 0.000 0.000 0.500 1
```

Computed properties:
DOS at the Fermi energy   38.06 states/eV per cell
Formation energy   185 meV per atom
Magnetic moment   4.80 μB/f.u.
Final energy   -7.143 eV per atom

---

First-principles (PBE-GGA) data for an optimized crystal structure of VRuS, as listed in Alexandria.

Structure (CIF):
```
data_VRuS
_symmetry_space_group_name_H-M 'P 42/m'
_symmetry_Int_Tables_number 84
_symmetry_space_group_name_Hall '-P 4c'
_cell_length_a 8.259
_cell_length_b 8.259
_cell_length_c 3.010
_cell_angle_alpha 90.00
_cell_angle_beta 90.00
_cell_angle_gamma 90.00
loop_
_atom_site_label
_atom_site_type_symbol
_atom_site_fract_x
_atom_site_fract_y
_atom_site_fract_z
_atom_site_occupancy
V1 V 0.188 0.288 0.000 1
Ru1 Ru 0.315 0.541 0.000 1
S1 S 0.097 0.720 0.000 1
```

Computed properties:
DOS at the Fermi energy   6.09 states/eV per cell
Magnetic moment   0.00 μB/f.u.
Formation energy from raw total energies   -240.5 meV/atom
Relative energy among the computed polymorphs   10 meV/atom
Final energy   -7.748 eV per atom

---

First-principles (PBE-GGA) data for an optimized crystal structure of CoRu2Se, as listed in Alexandria.

Structure (CIF):
```
data_CoRu2Se
_symmetry_space_group_name_H-M 'C m m 2'
_symmetry_Int_Tables_number 35
_symmetry_space_group_name_Hall 'C 2 -2'
_cell_length_a 2.843
_cell_length_b 4.721
_cell_length_c 8.682
_cell_angle_alpha 90.00
_cell_angle_beta 90.00
_cell_angle_gamma 90.00
loop_
_atom_site_label
_atom_site_type_symbol
_atom_site_fract_x
_atom_site_fract_y
_atom_site_fract_z
_atom_site_occupancy
Co1 Co 0.000 0.000 0.000 1
Ru1 Ru 0.000 0.000 0.506 1
Ru2 Ru 0.000 0.500 0.760 1
Se1 Se 0.000 0.500 0.243 1
```

Computed properties:
DOS at the Fermi energy   12.07 states/eV per cell
Magnetic moment   2.84 μB/f.u.
Formation energy from raw total energies   602.8 meV/atom
Final energy   -6.683 eV per atom

---

First-principles (PBE-GGA) data for an optimized crystal structure of ScCu, as listed in Alexandria.

Structure (CIF):
```
data_ScCu
_symmetry_space_group_name_H-M 'C 1 2/m 1'
_symmetry_Int_Tables_number 12
_symmetry_space_group_name_Hall '-C 2y'
_cell_length_a 9.805
_cell_length_b 3.152
_cell_length_c 4.696
_cell_angle_alpha 90.00
_cell_angle_beta 105.78
_cell_angle_gamma 90.00
loop_
_atom_site_label
_atom_site_type_symbol
_atom_site_fract_x
_atom_site_fract_y
_atom_site_fract_z
_atom_site_occupancy
Sc1 Sc 0.107 0.000 0.318 1
Cu1 Cu 0.146 0.500 0.853 1
```

Computed properties:
DOS at the Fermi energy   6.27 states/eV per cell
Formation energy   -160 meV per atom
Magnetic moment   0.00 μB/f.u.
Final energy   -5.374 eV per atom

---

First-principles (PBE-GGA) data for an optimized crystal structure of NaGe, as listed in Alexandria.

Structure (CIF):
```
data_NaGe
_symmetry_space_group_name_H-M 'P 63/m'
_symmetry_Int_Tables_number 176
_symmetry_space_group_name_Hall '-P 6c'
_cell_length_a 11.5824
_cell_length_b 11.5824
_cell_length_c 3.9365
_cell_angle_alpha 90.00
_cell_angle_beta 90.00
_cell_angle_gamma 120.00
loop_
_atom_site_label
_atom_site_type_symbol
_atom_site_fract_x
_atom_site_fract_y
_atom_site_fract_z
_atom_site_occupancy
Na1 Na 0.1599 0.3864 0.2500 1
Ge1 Ge 0.0031 0.5638 0.2500 1
```

Computed properties:
DOS at the Fermi energy   2.66 states/eV per cell
Formation energy   60 meV per atom
Magnetic moment   0.00 μB/f.u.
Final energy   -2.908 eV per atom

---

First-principles (PBE-GGA) data for an optimized crystal structure of ZnFeMo2C, as listed in Alexandria.

Structure (CIF):
```
data_ZnFeMo2C
_symmetry_space_group_name_H-M 'P 4/m m m'
_symmetry_Int_Tables_number 123
_symmetry_space_group_name_Hall '-P 4 2'
_cell_length_a 4.169
_cell_length_b 4.169
_cell_length_c 3.773
_cell_angle_alpha 90.00
_cell_angle_beta 90.00
_cell_angle_gamma 90.00
loop_
_atom_site_label
_atom_site_type_symbol
_atom_site_fract_x
_atom_site_fract_y
_atom_site_fract_z
_atom_site_occupancy
Zn1 Zn 0.000 0.000 0.000 1
Fe1 Fe 0.500 0.500 0.000 1
Mo1 Mo 0.000 0.500 0.500 1
C1 C 0.500 0.500 0.500 1
```

Computed properties:
DOS at the Fermi energy   4.21 states/eV per cell
Formation energy   144 meV per atom
Magnetic moment   2.08 μB/f.u.
Final energy   -7.981 eV per atom

---

First-principles (PBE-GGA) data for an optimized crystal structure of NbGeBr, as listed in Alexandria.

Structure (CIF):
```
data_NbGeBr
_symmetry_space_group_name_H-M 'C 1 2/m 1'
_symmetry_Int_Tables_number 12
_symmetry_space_group_name_Hall '-C 2y'
_cell_length_a 9.480
_cell_length_b 3.376
_cell_length_c 10.058
_cell_angle_alpha 90.00
_cell_angle_beta 108.44
_cell_angle_gamma 90.00
loop_
_atom_site_label
_atom_site_type_symbol
_atom_site_fract_x
_atom_site_fract_y
_atom_site_fract_z
_atom_site_occupancy
Nb1 Nb 0.186 0.000 0.111 1
Ge1 Ge 0.037 0.500 0.888 1
Br1 Br 0.197 0.000 0.675 1
```

Computed properties:
DOS at the Fermi energy   6.14 states/eV per cell
Magnetic moment   0.00 μB/f.u.
Formation energy from raw total energies   -384.2 meV/atom
Final energy   -5.838 eV per atom

---

First-principles (PBE-GGA) data for an optimized crystal structure of TaFe2Se, as listed in Alexandria.

Structure (CIF):
```
data_TaFe2Se
_symmetry_space_group_name_H-M 'R 3 m'
_symmetry_Int_Tables_number 160
_symmetry_space_group_name_Hall 'R 3 -2"'
_cell_length_a 3.1416
_cell_length_b 3.1416
_cell_length_c 22.3801
_cell_angle_alpha 90.00
_cell_angle_beta 90.00
_cell_angle_gamma 120.00
loop_
_atom_site_label
_atom_site_type_symbol
_atom_site_fract_x
_atom_site_fract_y
_atom_site_fract_z
_atom_site_occupancy
Ta1 Ta 0.0000 0.0000 0.0000 1
Fe1 Fe 0.0000 0.0000 0.2470 1
Fe2 Fe 0.0000 0.0000 0.5064 1
Se1 Se 0.0000 0.0000 0.7512 1
```

Computed properties:
DOS at the Fermi energy   9.83 states/eV per cell
Magnetic moment   5.13 μB/f.u.
Formation energy from raw total energies   207.2 meV/atom
Final energy   -7.858 eV per atom